The following is a PBE calculation of a geometry-optimized TaAlN2O structure, from OQMD via LeMat-Bulk.

Lattice parameters (Å, degrees): 3.8340 3.8340 4.6859 90.00 90.00 90.00
Space group P4mm (No. 99)
Asymmetric unit:
Ta: 0.0000 0.0000 0.0000 [1 per cell]
Al: 0.5000 0.5000 0.7611 [1 per cell]
N: 0.0000 0.5000 0.8474 [2 per cell]
O: 0.0000 0.0000 0.3825 [1 per cell]

Summary:
- Volume: 69 Å³/cell
- Total DFT energy (no corrections): -8.63 eV per atom
- Magnetization: 0.00 μB per atom

***

The following is a PBE calculation of a geometry-optimized TaAlNO structure, from OQMD via LeMat-Bulk.

Lattice parameters (Å, degrees): 3.8285 3.8285 6.2885 90.00 90.00 90.00
Space group P4/nmm (No. 129, origin choice 2)
Asymmetric unit:
Ta: 0.2500 0.7500 0.0000 [2 per cell]
Al: 0.2500 0.2500 0.4117 [2 per cell]
N: 0.2500 0.2500 0.8580 [2 per cell]
O: 0.2500 0.7500 0.5000 [2 per cell]

Summary:
- Volume: 92 Å³/cell
- Total DFT energy (no corrections): -8.40 eV per atom
- Energy relative to the lowest polymorph listed for this composition: 0.195 eV per atom
- Magnetization: 0.00 μB per atom

***

Question: volume of number 1 (TaAlN2O)?
Answer: 69 Å³/cell

***

Question: magnetization of number 1 (TaAlN2O)?
Answer: 0.00 μB per atom